1.
Ba2MnTe | meta-GGA SCAN | single point on PBEsol structure

Calculated values
As for the space group: Imm2. The total energy is -1.258 Ha/atom. Its formation energy from raw total energies is -55.12 kJ per mole of atoms. The density of states at the Fermi level comes out at 0.85 states/eV/atom. Its spin magnetization is 3.67 μB/f.u.

```
Ba2MnTe
1.0
-2.244 2.347 2.597
0.325 -3.741 3.661
6.046 3.214 -1.008
Te Ba Mn
1 2 1
direct
0.196 0.696 0.393 Te
0.988 0.988 0.976 Ba
0.776 0.276 0.551 Ba
0.540 0.540 0.080 Mn
```

---

2.
KNiHgTe2 | meta-GGA SCAN | single point on PBEsol structure

Calculated values
As for the space group: P4/mmm. The total energy is -1.202 Ha/atom. Its formation energy from raw total energies is 69.70 kJ per mole of atoms. The density of states at the Fermi level comes out at 1.39 states/eV/atom. Its spin magnetization is 1.63 μB/f.u.

```
KNiHgTe2
1.0
-2.483 -3.879 -3.153
4.998 -1.859 -1.649
0.098 -3.622 4.380
Ni K Te Hg
1 1 2 1
direct
0.500 0.500 0.500 Ni
0.000 0.000 0.500 K
0.000 0.500 0.000 Te
0.500 0.000 0.000 Te
0.000 0.000 0.000 Hg
```

---

3.
Ta3BrN | meta-GGA SCAN | single point on PBEsol structure

Calculated values
As for the space group: Pm-3m. The total energy is -1.666 Ha/atom. Its formation energy from raw total energies is 34.71 kJ per mole of atoms. The density of states at the Fermi level comes out at 0.49 states/eV/atom. Its spin magnetization is 0.00 μB/f.u.

```
Ta3BrN
1.0
-4.189 -0.406 -0.697
0.758 -0.722 -4.136
0.275 -4.185 0.781
N Br Ta
1 1 3
direct
0.000 0.000 0.000 N
0.500 0.500 0.500 Br
0.000 0.500 0.000 Ta
0.000 0.000 0.500 Ta
0.500 0.000 0.000 Ta
```

---

Question: Which formula does entry 1 have?
Answer: Ba2MnTe

---

Question: What is the formation energy from raw total energies in the third record?
Answer: 34.71 kJ per mole of atoms

---

Question: Which of these has the highest density of states at the Fermi level?
Answer: KNiHgTe2

---

Question: density of states at the Fermi level of number 1 (Ba2MnTe)?
Answer: 0.85 states/eV/atom